An optimized crystal structure of Tl4Si2Au5, computed with PBE.

Space group: P2/m, No. 10
Density: 11.7 g/cm3
Electronic total energy: -35.4 eV for the cell shown
Formation energy (no corrections): 121 meV per atom
Crystal system: monoclinic

Lattice parameters (Å, degrees): 5.955 4.635 9.610 90.00 93.55 90.00
Atoms (fractional coordinates):
Tl 0.230 0.000 0.359
Tl 0.255 0.000 0.895
Tl 0.745 0.000 0.105
Tl 0.770 0.000 0.641
Si 0.469 0.500 0.756
Si 0.531 0.500 0.244
Au 0.086 0.500 0.644
Au 0.182 0.500 0.097
Au 0.500 0.500 0.500
Au 0.818 0.500 0.903
Au 0.914 0.500 0.356